KPtF | Alexandria | GGA-PBE | relaxed; polymorph energy (0 for the lowest one) = 16.5 kJ/mol of atoms; symmetry = Pnma, No. 62; calculated total energy = -4.237 eV per atom
1.0
-8.951 -2.490 -3.239
1.464 -2.581 -2.061
-0.626 -4.500 5.190
K Pt F
4 4 4
Cartesian
-3.119 -5.558 3.161
-7.392 -5.349 -0.135
-4.995 -4.014 -3.271
-0.721 -4.222 0.025
-4.050 -3.549 -0.015
-8.354 -3.559 -3.060
-4.063 -6.022 -0.095
0.240 -6.013 2.950
-5.484 -5.802 1.787
-7.187 -5.607 -2.833
-2.629 -3.769 -1.897
-0.926 -3.964 2.723